First-principles (GGA-PBE) data for an optimized crystal structure of Cd2AgRh, as listed in the Alexandria database.

## Properties
Space-group type: Cm (8)
Energy: -3.052 eV/atom
Energy of formation from the pure elements: -44 meV/atom
Energy above the lowest structure with this stoichiometry: 0.26 eV/f.u.
Magnetization: 0.000 μB/atom

Cell lengths 5.369, 5.369, 4.806 Å; angles 70.38, 70.38, 33.98 degrees
Atoms (fractional coordinates):
Rh 0.497 0.497 0.444
Ag 0.760 0.760 0.795
Cd 0.005 0.005 0.947
Cd 0.238 0.238 0.314

***

First-principles (GGA-PBE) data for an optimized crystal structure of Mn2Si2Pt, as listed in the Alexandria database.

## Properties
Space-group type: P4/mbm (127)
Energy: -7.429 eV/atom
Energy relative to the elements, uncorrected: -384 meV per atom
Magnetization: 1.150 μB/atom

Cell lengths 6.265, 6.265, 3.441 Å; angles 90.00, 90.00, 90.00 degrees
Atoms (fractional coordinates):
Si 0.366 0.866 0.000
Si 0.866 0.634 0.000
Si 0.634 0.134 0.000
Si 0.134 0.366 0.000
Mn 0.161 0.661 0.500
Mn 0.661 0.839 0.500
Mn 0.839 0.339 0.500
Mn 0.339 0.161 0.500
Pt 0.000 0.000 0.000
Pt 0.500 0.500 0.000

***

First-principles (GGA-PBE) data for an optimized crystal structure of Sr2HgRu, as listed in the Alexandria database.

## Properties
Space-group type: R-3m (166)
Energy: -2.932 eV/atom
Energy of formation from the pure elements: 303 meV/atom
Magnetization: 0.113 μB/atom

Cell lengths 9.597, 9.597, 9.597 Å; angles 23.24, 23.24, 23.24 degrees
Atoms (fractional coordinates):
Hg 0.250 0.250 0.250
Ru 0.750 0.750 0.750
Sr 0.012 0.012 0.012
Sr 0.488 0.488 0.488

***

First-principles (GGA-PBE) data for an optimized crystal structure of Ac4RuPb2, as listed in the Alexandria database.

## Properties
Space-group type: C2/m (12)
Energy: -5.123 eV/atom
Energy of formation from the pure elements: -391 meV/atom
Energy above the lowest structure with this stoichiometry: 0.00 eV/f.u.
Magnetization: 0.000 μB/atom

Cell lengths 4.947, 6.769, 8.542 Å; angles 74.31, 73.17, 68.57 degrees
Atoms (fractional coordinates):
Ac 0.067 0.210 0.655
Ac 0.933 0.790 0.345
Ac 0.335 0.274 0.057
Ac 0.665 0.726 0.943
Ru 0.000 0.000 0.000
Pb 0.354 0.636 0.657
Pb 0.646 0.364 0.343

***

First-principles (GGA-PBE) data for an optimized crystal structure of LiZn3Ag, as listed in the Alexandria database.

## Properties
Space-group type: R3m (160)
Energy: -1.827 eV/atom
Energy of formation from the pure elements: -109 meV/atom
Energy above the lowest structure with this stoichiometry: 0.03 eV/f.u.
Magnetization: 0.000 μB/atom

Cell lengths 4.677, 4.677, 4.677 Å; angles 66.05, 66.05, 66.05 degrees
Atoms (fractional coordinates):
Li 0.949 0.949 0.949
Zn 0.823 0.324 0.324
Zn 0.324 0.823 0.324
Zn 0.324 0.324 0.823
Ag 0.706 0.706 0.706

***

First-principles (GGA-PBE) data for an optimized crystal structure of SmTiP2Rh5, as listed in the Alexandria database.

## Properties
Space-group type: P4/mmm (123)
Energy: -7.219 eV/atom
Energy of formation from the pure elements: -532 meV/atom
Magnetization: 0.000 μB/atom

Cell lengths 4.077, 4.077, 9.824 Å; angles 90.00, 90.00, 90.00 degrees
Atoms (fractional coordinates):
Sm 0.500 0.500 0.500
Ti 0.000 0.000 0.000
P 0.000 0.000 0.273
P 0.000 0.000 0.727
Rh 0.000 0.000 0.500
Rh 0.000 0.500 0.837
Rh 0.500 0.000 0.163
Rh 0.000 0.500 0.163
Rh 0.500 0.000 0.837

***

| no. | volume (Å³ per cell) |
| --- | --- |
| 1 | 72 |
| 2 | 135 |
| 3 | 121 |
| 4 | 250 |
| 5 | 82 |
| 6 | 163 |